(1)
Entry from Alexandria via LeMat-Bulk: an optimized crystal structure of Cs2KBr2 (PBE).

a b c (Å): 9.518 9.518 9.518
angles (deg): 136.74 136.74 62.83
Positions (direct):
Cs 0.250 0.750 0.500
Cs 0.750 0.250 0.500
K 0.000 0.000 0.000
Br 0.197 0.197 0.000
Br 0.803 0.803 0.000

**Calculated volume**: 80.0 Å³/atom
**Polymorph energy (0 for the lowest one)**: 0.0 meV per atom
**Magnetization**: 0.00 μB per atom
**Formation energy without anion corrections**: -1303 meV/atom
**Space group**: I4/mmm, No. 139

***

(2)
Entry from Alexandria via LeMat-Bulk: an optimized crystal structure of CsK6Br8 (PBE).

a b c (Å): 11.902 11.902 5.053
angles (deg): 90.00 90.00 120.00
Positions (direct):
Cs 0.000 0.000 0.000
K 0.126 0.654 0.746
K 0.346 0.471 0.746
K 0.471 0.126 0.254
K 0.529 0.874 0.746
K 0.654 0.529 0.254
K 0.874 0.346 0.254
Br 0.036 0.332 0.755
Br 0.297 0.964 0.755
Br 0.332 0.297 0.245
Br 0.333 0.667 0.246
Br 0.667 0.333 0.754
Br 0.668 0.703 0.755
Br 0.703 0.036 0.245
Br 0.964 0.668 0.245

**Calculated volume**: 41.3 Å³/atom
**Magnetization**: 0.08 μB per atom
**Formation energy without anion corrections**: -1516 meV/atom
**Space group**: P-3, No. 147

***

(3)
Entry from Alexandria via LeMat-Bulk: an optimized crystal structure of Cs6K2Br3 (PBE).

a b c (Å): 34.138 34.138 34.138
angles (deg): 8.73 8.73 8.73
Positions (direct):
Cs 0.063 0.063 0.063
Cs 0.189 0.189 0.189
Cs 0.354 0.354 0.354
Cs 0.646 0.646 0.646
Cs 0.811 0.811 0.811
Cs 0.937 0.937 0.937
K 0.437 0.437 0.437
K 0.563 0.563 0.563
Br 0.000 0.000 0.000
Br 0.291 0.291 0.291
Br 0.709 0.709 0.709

**Calculated volume**: 72.3 Å³/atom
**Magnetization**: 0.00 μB per atom
**Formation energy without anion corrections**: -955 meV/atom
**Space group**: R-3m, No. 166

***

(4)
Entry from Alexandria via LeMat-Bulk: an optimized crystal structure of CsKBr2 (PBE).

a b c (Å): 8.644 8.644 8.644
angles (deg): 33.37 33.37 33.37
Positions (direct):
Cs 0.000 0.000 0.000
K 0.500 0.500 0.500
Br 0.242 0.242 0.242
Br 0.758 0.758 0.758

**Calculated volume**: 43.5 Å³/atom
**Polymorph energy (0 for the lowest one)**: 0.0 meV per atom
**Magnetization**: 0.00 μB per atom
**Formation energy without anion corrections**: -1756 meV/atom
**Space group**: R-3m, No. 166

***

(5)
Entry from Alexandria via LeMat-Bulk: an optimized crystal structure of CsK2LiBr (PBE).

a b c (Å): 6.480 6.480 7.120
angles (deg): 90.00 90.00 90.00
Positions (direct):
Cs 0.000 0.000 0.000
K 0.000 0.500 0.500
K 0.500 0.000 0.500
Li 0.500 0.500 0.000
Br 0.000 0.000 0.500

**Calculated volume**: 59.8 Å³/atom
**Magnetization**: 0.00 μB per atom
**Formation energy without anion corrections**: -547 meV/atom
**Space group**: P4/mmm, No. 123

***

(6)
Entry from Alexandria via LeMat-Bulk: an optimized crystal structure of Cs2KLiBr (PBE).

a b c (Å): 7.812 7.812 5.252
angles (deg): 90.00 90.00 90.00
Positions (direct):
Cs 0.000 0.500 0.000
Cs 0.500 0.000 0.000
K 0.000 0.000 0.500
Li 0.500 0.500 0.500
Br 0.500 0.500 0.000

**Calculated volume**: 64.1 Å³/atom
**Polymorph energy (0 for the lowest one)**: 45.8 meV per atom
**Magnetization**: 0.00 μB per atom
**Formation energy without anion corrections**: -516 meV/atom
**Space group**: P4/mmm, No. 123

***

(7)
Entry from Alexandria via LeMat-Bulk: an optimized crystal structure of CsKLi2Br4 (PBE).

a b c (Å): 5.382 5.382 9.405
angles (deg): 90.00 90.00 90.00
Positions (direct):
Cs 0.000 0.000 0.000
K 0.000 0.000 0.500
Li 0.500 0.500 0.274
Li 0.500 0.500 0.726
Br 0.000 0.500 0.271
Br 0.000 0.500 0.729
Br 0.500 0.000 0.271
Br 0.500 0.000 0.729

**Calculated volume**: 34.1 Å³/atom
**Magnetization**: 0.00 μB per atom
**Formation energy without anion corrections**: -1569 meV/atom
**Space group**: P4/mmm, No. 123

***

(8)
Entry from Alexandria via LeMat-Bulk: an optimized crystal structure of Cs2KLiBr (PBE).

a b c (Å): 7.154 7.154 6.474
angles (deg): 90.00 90.00 90.00
Positions (direct):
Cs 0.000 0.500 0.000
Cs 0.500 0.000 0.000
K 0.000 0.000 0.500
Li 0.500 0.500 0.500
Br 0.000 0.000 0.000

**Calculated volume**: 66.3 Å³/atom
**Polymorph energy (0 for the lowest one)**: 0.0 meV per atom
**Magnetization**: 0.00 μB per atom
**Formation energy without anion corrections**: -561 meV/atom
**Space group**: P4/mmm, No. 123

***

(9)
Entry from Alexandria via LeMat-Bulk: an optimized crystal structure of Cs3KMg2Br8 (PBE).

a b c (Å): 8.228 8.228 10.330
angles (deg): 90.00 90.00 120.00
Positions (direct):
Cs 0.000 0.000 0.000
Cs 0.333 0.667 0.626
Cs 0.667 0.333 0.374
K 0.000 0.000 0.500
Mg 0.333 0.667 0.205
Mg 0.667 0.333 0.795
Br 0.172 0.343 0.303
Br 0.172 0.828 0.303
Br 0.333 0.667 0.967
Br 0.343 0.172 0.697
Br 0.657 0.828 0.303
Br 0.667 0.333 0.033
Br 0.828 0.172 0.697
Br 0.828 0.657 0.697

**Calculated volume**: 43.3 Å³/atom
**Magnetization**: 0.02 μB per atom
**Formation energy without anion corrections**: -1654 meV/atom
**Space group**: P-3m1, No. 164

***

(10)
Entry from Alexandria via LeMat-Bulk: an optimized crystal structure of Cs2KMgBr5 (PBE).

a b c (Å): 9.755 9.755 9.755
angles (deg): 148.26 132.34 58.40
Positions (direct):
Cs 0.208 0.208 0.000
Cs 0.792 0.792 0.000
K 0.500 0.000 0.500
Mg 0.000 0.500 0.500
Br 0.000 0.000 0.000
Br 0.135 0.387 0.747
Br 0.360 0.613 0.747
Br 0.640 0.387 0.253
Br 0.865 0.613 0.253

**Calculated volume**: 39.8 Å³/atom
**Magnetization**: 0.00 μB per atom
**Formation energy without anion corrections**: -1642 meV/atom
**Space group**: Immm, No. 71

***

(11)
Entry from Alexandria via LeMat-Bulk: an optimized crystal structure of Cs4KMg3Br12 (PBE).

a b c (Å): 9.770 9.770 9.770
angles (deg): 109.47 109.47 109.47
Positions (direct):
Cs 0.000 0.000 0.500
Cs 0.000 0.500 0.000
Cs 0.500 0.000 0.000
Cs 0.500 0.500 0.500
K 0.000 0.000 0.000
Mg 0.000 0.500 0.500
Mg 0.500 0.000 0.500
Mg 0.500 0.500 0.000
Br 0.000 0.275 0.275
Br 0.000 0.725 0.725
Br 0.250 0.500 0.750
Br 0.250 0.750 0.500
Br 0.275 0.000 0.275
Br 0.275 0.275 0.000
Br 0.500 0.250 0.750
Br 0.500 0.750 0.250
Br 0.725 0.000 0.725
Br 0.725 0.725 0.000
Br 0.750 0.250 0.500
Br 0.750 0.500 0.250

**Calculated volume**: 35.9 Å³/atom
**Magnetization**: 0.00 μB per atom
**Formation energy without anion corrections**: -1525 meV/atom
**Space group**: Im-3m, No. 229

***

(12)
Entry from Alexandria via LeMat-Bulk: an optimized crystal structure of Cs2KMg2Br7 (PBE).

a b c (Å): 5.434 5.434 14.738
angles (deg): 100.61 100.61 90.01
Positions (direct):
Cs 0.180 0.180 0.361
Cs 0.820 0.820 0.639
K 0.000 0.000 0.000
Mg 0.403 0.403 0.810
Mg 0.597 0.597 0.190
Br 0.091 0.590 0.181
Br 0.312 0.312 0.623
Br 0.410 0.909 0.819
Br 0.500 0.500 0.000
Br 0.590 0.091 0.181
Br 0.688 0.688 0.377
Br 0.909 0.410 0.819

**Calculated volume**: 35.0 Å³/atom
**Magnetization**: 0.00 μB per atom
**Formation energy without anion corrections**: -1618 meV/atom
**Space group**: C2/m, No. 12

***

(13)
Entry from Alexandria via LeMat-Bulk: an optimized crystal structure of CsKMnBr4 (PBE).

a b c (Å): 7.684 7.743 9.895
angles (deg): 90.00 108.33 90.00
Positions (direct):
Cs 0.227 0.250 0.432
Cs 0.773 0.750 0.568
K 0.276 0.250 0.948
K 0.724 0.750 0.052
Mn 0.281 0.750 0.187
Mn 0.719 0.250 0.813
Br 0.089 0.750 0.933
Br 0.092 0.750 0.352
Br 0.498 0.000 0.237
Br 0.498 0.500 0.237
Br 0.502 0.000 0.763
Br 0.502 0.500 0.763
Br 0.908 0.250 0.648
Br 0.911 0.250 0.067

**Calculated volume**: 39.9 Å³/atom
**Magnetization**: 0.71 μB per atom
**Formation energy without anion corrections**: -1390 meV/atom
**Space group**: P2_1/m, No. 11

***

(14)
Entry from Alexandria via LeMat-Bulk: an optimized crystal structure of Cs2KMn2Br7 (PBE).

a b c (Å): 14.729 14.729 14.729
angles (deg): 158.73 158.73 30.25
Positions (direct):
Cs 0.180 0.180 0.000
Cs 0.820 0.820 0.000
K 0.000 0.000 0.000
Mn 0.405 0.405 0.000
Mn 0.595 0.595 0.000
Br 0.090 0.590 0.500
Br 0.312 0.312 0.000
Br 0.410 0.910 0.500
Br 0.500 0.500 0.000
Br 0.590 0.090 0.500
Br 0.688 0.688 0.000
Br 0.910 0.410 0.500

**Calculated volume**: 35.0 Å³/atom
**Magnetization**: 0.83 μB per atom
**Formation energy without anion corrections**: -1275 meV/atom
**Space group**: I4/mmm, No. 139

***

(15)
Entry from Alexandria via LeMat-Bulk: an optimized crystal structure of CsKMn2Br6 (PBE).

a b c (Å): 10.285 10.285 7.933
angles (deg): 100.32 100.32 86.43
Positions (direct):
Cs 0.182 0.818 0.750
Cs 0.818 0.182 0.250
K 0.399 0.601 0.250
K 0.601 0.399 0.750
Mn 0.129 0.304 0.762
Mn 0.304 0.129 0.262
Mn 0.696 0.871 0.738
Mn 0.871 0.696 0.238
Br 0.094 0.605 0.326
Br 0.118 0.173 0.010
Br 0.173 0.118 0.510
Br 0.298 0.473 0.839
Br 0.395 0.906 0.174
Br 0.473 0.298 0.339
Br 0.527 0.702 0.661
Br 0.605 0.094 0.826
Br 0.702 0.527 0.161
Br 0.827 0.882 0.490
Br 0.882 0.827 0.990
Br 0.906 0.395 0.674

**Calculated volume**: 40.6 Å³/atom
**Magnetization**: 1.00 μB per atom
**Formation energy without anion corrections**: -1193 meV/atom
**Space group**: C2/c, No. 15

***

(16)
Entry from Alexandria via LeMat-Bulk: an optimized crystal structure of CsK3Mn4Br12 (PBE).

a b c (Å): 10.188 10.188 10.188
angles (deg): 104.83 104.83 104.83
Positions (direct):
Cs 0.000 0.000 0.000
K 0.000 0.454 0.546
K 0.454 0.546 0.000
K 0.546 0.000 0.454
Mn 0.050 0.950 0.500
Mn 0.500 0.050 0.950
Mn 0.500 0.500 0.500
Mn 0.950 0.500 0.050
Br 0.044 0.803 0.653
Br 0.100 0.500 0.900
Br 0.197 0.956 0.347
Br 0.347 0.197 0.956
Br 0.350 0.500 0.650
Br 0.500 0.650 0.350
Br 0.500 0.900 0.100
Br 0.650 0.350 0.500
Br 0.653 0.044 0.803
Br 0.803 0.653 0.044
Br 0.900 0.100 0.500
Br 0.956 0.347 0.197

**Calculated volume**: 46.4 Å³/atom
**Magnetization**: 1.00 μB per atom
**Formation energy without anion corrections**: -1104 meV/atom
**Space group**: R32, No. 155

***

(17)
Entry from Alexandria via LeMat-Bulk: an optimized crystal structure of CsK2MnBr6 (PBE).

a b c (Å): 7.834 8.683 13.068
angles (deg): 90.00 121.90 90.00
Positions (direct):
Cs 0.000 0.000 0.000
Cs 0.000 0.500 0.500
K 0.197 0.056 0.727
K 0.197 0.444 0.227
K 0.803 0.556 0.773
K 0.803 0.944 0.273
Mn 0.500 0.000 0.500
Mn 0.500 0.500 0.000
Br 0.217 0.156 0.475
Br 0.217 0.344 0.975
Br 0.228 0.750 0.382
Br 0.228 0.750 0.882
Br 0.438 0.098 0.305
Br 0.438 0.402 0.805
Br 0.562 0.598 0.195
Br 0.562 0.902 0.695
Br 0.772 0.250 0.118
Br 0.772 0.250 0.618
Br 0.783 0.656 0.025
Br 0.783 0.844 0.525

**Calculated volume**: 37.7 Å³/atom
**Magnetization**: 0.40 μB per atom
**Formation energy without anion corrections**: -1303 meV/atom
**Space group**: P2_1/c, No. 14

***

(18)
Entry from Alexandria via LeMat-Bulk: an optimized crystal structure of Cs3KMn2Br9 (PBE).

a b c (Å): 7.805 7.805 10.197
angles (deg): 90.00 90.00 120.00
Positions (direct):
Cs 0.000 0.000 0.000
Cs 0.333 0.667 0.693
Cs 0.667 0.333 0.307
K 0.000 0.000 0.500
Mn 0.333 0.667 0.158
Mn 0.667 0.333 0.842
Br 0.000 0.500 0.000
Br 0.177 0.353 0.295
Br 0.177 0.823 0.295
Br 0.353 0.177 0.705
Br 0.500 0.000 0.000
Br 0.500 0.500 0.000
Br 0.647 0.823 0.295
Br 0.823 0.177 0.705
Br 0.823 0.647 0.705

**Calculated volume**: 35.9 Å³/atom
**Magnetization**: 0.60 μB per atom
**Formation energy without anion corrections**: -1294 meV/atom
**Space group**: P-3m1, No. 164

***

(19)
Entry from Alexandria via LeMat-Bulk: an optimized crystal structure of CsK2MoBr6 (PBE).

a b c (Å): 7.955 8.306 13.695
angles (deg): 90.00 122.32 90.00
Positions (direct):
Cs 0.000 0.000 0.000
Cs 0.000 0.500 0.500
K 0.294 0.093 0.765
K 0.294 0.407 0.265
K 0.706 0.593 0.735
K 0.706 0.907 0.235
Mo 0.500 0.000 0.500
Mo 0.500 0.500 0.000
Br 0.161 0.040 0.301
Br 0.161 0.460 0.801
Br 0.311 0.655 0.080
Br 0.311 0.845 0.580
Br 0.436 0.226 0.071
Br 0.436 0.274 0.571
Br 0.564 0.726 0.429
Br 0.564 0.774 0.929
Br 0.689 0.155 0.420
Br 0.689 0.345 0.920
Br 0.839 0.540 0.199
Br 0.839 0.960 0.699

**Calculated volume**: 38.2 Å³/atom
**Magnetization**: 0.30 μB per atom
**Formation energy without anion corrections**: -1256 meV/atom
**Space group**: P2_1/c, No. 14

***

(20)
Entry from Alexandria via LeMat-Bulk: an optimized crystal structure of CsKMoBr6 (PBE).

a b c (Å): 7.948 7.948 7.257
angles (deg): 90.02 90.02 120.06
Positions (direct):
Cs 0.000 0.000 0.000
K 0.666 0.334 0.500
Mo 0.333 0.667 0.500
Br 0.068 0.407 0.294
Br 0.069 0.661 0.707
Br 0.339 0.408 0.707
Br 0.339 0.931 0.293
Br 0.592 0.661 0.293
Br 0.593 0.932 0.706

**Calculated volume**: 44.1 Å³/atom
**Magnetization**: 0.22 μB per atom
**Formation energy without anion corrections**: -1065 meV/atom
**Space group**: C2, No. 5